{
  "formula": "NaCeZnPt",
  "functional": "PBE",
  "state": "relaxed",
  "sg": "No. 216",
  "formation_enthalpy_0k_mev_per_atom": -347,
  "lattice_angstrom": [[0.0000, 3.4970, 3.4970], [3.4970, 0.0000, 3.4970], [3.4970, 3.4970, 0.0000]],
  "species": ["Na", "Ce", "Zn", "Pt"],
  "fractional_positions": [[0.0000, 0.0000, 0.0000], [0.5000, 0.5000, 0.5000], [0.7500, 0.7500, 0.7500], [0.2500, 0.2500, 0.2500]]
}



{
  "formula": "Dy2Fe2B2C",
  "functional": "PBE",
  "state": "relaxed",
  "sg": "No. 12",
  "formation_enthalpy_0k_mev_per_atom": -447,
  "lattice_angstrom": [[5.0950, -1.7894, 0.0000], [5.0950, 1.7894, 0.0000], [-3.8321, 0.0000, 5.1380]],
  "species": ["Dy", "Dy", "Fe", "Fe", "B", "B", "C"],
  "fractional_positions": [[0.0623, 0.0623, 0.3147], [0.9377, 0.9377, 0.6853], [0.2968, 0.2968, 0.9078], [0.7032, 0.7032, 0.0922], [0.3059, 0.3059, 0.2360], [0.6941, 0.6941, 0.7640], [0.5000, 0.5000, 0.0000]]
}